Compound: Nd4Sn2I3
Source: Alexandria
Functional: PBE
Structure: optimized geometry

Cell lengths 4.540, 4.540, 19.186 Å; angles 90.02, 90.02, 59.99 degrees
Positions (direct):
1 Nd 0.000 0.000 0.210
2 Nd 0.000 0.000 0.790
3 Nd 0.333 0.333 0.611
4 Nd 0.667 0.667 0.389
5 Sn 0.333 0.333 0.302
6 Sn 0.667 0.667 0.698
7 I 0.000 0.000 0.500
8 I 0.334 0.334 0.892
9 I 0.666 0.666 0.108

## Properties
V   342 Å³ per cell
E_form (uncorrected)   -1.03 eV per atom